Crystalline Li2VCrO4 at its relaxed geometry. Source: Alexandria, functional GGA+U.

Summary:
Excess energy over the best structure of this formula in the dataset = 0.01 kcal/mol of atoms
E_tot = -6.910 eV/atom
Magnetic moment = 5.00 μB/f.u.

```
data_Li2VCrO4
_cell_length_a 5.1530
_cell_length_b 5.9978
_cell_length_c 7.8726
_cell_angle_alpha 79.21
_cell_angle_beta 71.14
_cell_angle_gamma 89.92
_symmetry_space_group_name_H-M 'P -1'
_symmetry_Int_Tables_number 2
loop_
_symmetry_equiv_pos_as_xyz
'x,y,z'
'-x,-y,-z'
loop_
_atom_site_label
_atom_site_fract_x
_atom_site_fract_y
_atom_site_fract_z
Li1 0.9999 0.0918 0.1673
Li2 0.0005 0.4207 0.8331
Li3 0.0034 0.2562 0.4956
V1 0.5000 0.0000 0.5000
V2 0.5004 0.1646 0.8335
Cr1 0.4986 0.6639 0.8336
Cr2 0.5000 0.5000 0.5000
O1 0.2717 0.7037 0.6631
O2 0.2718 0.8741 0.9936
O3 0.2730 0.0494 0.3275
O4 0.2742 0.2111 0.6593
O5 0.2745 0.3778 0.9954
O6 0.2750 0.5434 0.3278
```